[1]
Below is a relaxed Er2Hg5 crystal, with properties calculated at the GGA-PBE level.

a = 7.8271 Å, b = 7.8271 Å, c = 8.8645 Å
α = 95.18°, β = 95.18°, γ = 39.62°
Sites, in units of the cell vectors:
Er 0.1644 0.6659 0.9016
Er 0.3341 0.8356 0.5984
Er 0.6659 0.1644 0.4016
Er 0.8356 0.3341 0.0984
Hg 0.0420 0.5440 0.1910
Hg 0.1208 0.6192 0.5537
Hg 0.2507 0.7493 0.2500
Hg 0.3808 0.8792 0.9463
Hg 0.4560 0.9580 0.3090
Hg 0.5440 0.0420 0.6910
Hg 0.6192 0.1208 0.0537
Hg 0.7493 0.2507 0.7500
Hg 0.8792 0.3808 0.4463
Hg 0.9580 0.4560 0.8090

Calculated values
Its space group is C2/c.

[2]
Below is a relaxed ErHg3 crystal, with properties calculated at the GGA-PBE level.

a = 4.4799 Å, b = 4.4799 Å, c = 4.8079 Å
α = 90.00°, β = 90.00°, γ = 90.00°
Sites, in units of the cell vectors:
Er 0.0000 0.0000 0.0000
Hg 0.0000 0.5000 0.5000
Hg 0.5000 0.0000 0.5000
Hg 0.5000 0.5000 0.0000

Calculated values
Its space group is P4/mmm.

[3]
Below is a relaxed Er3Hg4 crystal, with properties calculated at the GGA-PBE level.

a = 9.0769 Å, b = 9.0769 Å, c = 9.0769 Å
α = 32.34°, β = 32.34°, γ = 32.34°
Sites, in units of the cell vectors:
Er 0.0000 0.0000 0.0000
Er 0.2450 0.2450 0.2450
Er 0.7550 0.7550 0.7550
Hg 0.1268 0.1268 0.1268
Hg 0.3753 0.3753 0.3753
Hg 0.6247 0.6247 0.6247
Hg 0.8732 0.8732 0.8732

Calculated values
The energy above the most stable polymorph in this dataset is 75 meV/atom. Its space group is R-3m.

| no. | calculated formation energy (kJ/mol of formula units) |
| --- | --- |
| 1 | -192 |
| 2 | -113 |
| 3 | -225 |